Material: Mg2ScCrMo
Method: DFT, GGA-PBE
State: optimized geometry

Results
Space-group type: P4/mmm
Total energy in eV/atom: -5.141
DFT formation energy in eV/atom: 0.854

Cell lengths 5.126, 4.367, 5.126 Å; angles 90.00, 90.00, 90.00 degrees
Fractional coordinates of all 5 atoms:
1 Sc 0.500 0.500 0.500
2 Cr 0.000 0.500 0.000
3 Mo 0.000 0.000 0.000
4 Mg 0.000 0.000 0.500
5 Mg 0.500 0.000 0.000

---

Material: BeRe2H
Method: DFT, GGA-PBE
State: optimized geometry

Results
Polymorph energy (0 for the lowest one) in meV/atom: 0
Space-group type: I-42d
Total energy in eV/atom: -7.621

Cell lengths 5.614, 5.614, 4.775 Å; angles 54.00, 54.00, 90.00 degrees
Fractional coordinates of all 8 atoms:
1 Re 0.558 0.125 0.250
2 Re 0.192 0.625 0.250
3 Re 0.375 0.442 0.750
4 Re 0.875 0.808 0.750
5 H 0.500 0.500 0.000
6 H 0.250 0.750 0.500
7 Be 0.000 0.000 0.000
8 Be 0.750 0.250 0.500